Sr3TmPb12 | PBE-GGA | optimized geometry

- N(E_F): 9.8 states/eV/cell
- Total DFT energy (no corrections): -3.694 eV/atom

Lattice parameters (Å, degrees): 4.9857 4.9857 19.9933 90.00 90.00 90.00
Space group P4/mmm (No. 123)
Inequivalent atoms, fractional coordinates:
1 Sr 0.0000 0.0000 0.0000
2 Sr 0.0000 0.0000 0.2553
3 Tm 0.0000 0.0000 0.5000
4 Pb 0.0000 0.5000 0.1267
5 Pb 0.0000 0.5000 0.3819
6 Pb 0.5000 0.5000 0.0000
7 Pb 0.5000 0.5000 0.2525
8 Pb 0.5000 0.5000 0.5000



NpGa4Ni2Rh | PBE-GGA | optimized geometry

- N(E_F): 29.3 states/eV/cell
- Total DFT energy (no corrections): -5.816 eV/atom

Lattice parameters (Å, degrees): 4.1191 4.1191 26.2966 90.00 90.00 120.00
Space group R-3m (No. 166, hexagonal axes)
Inequivalent atoms, fractional coordinates:
1 Np 0.0000 0.0000 0.0000
2 Ga 0.0000 0.0000 0.1283
3 Ga 0.0000 0.0000 0.4011
4 Ni 0.0000 0.0000 0.2312
5 Rh 0.0000 0.0000 0.5000